No. 1
# TmBiS2

A relaxed structure of TmBiS2 (PBE, Alexandria).

Output
**Electronic total energy**: -5.45 eV per atom
**ΔE_f (raw)**: -1293 meV/atom
**Volume**: 27.6 Å³ per atom
**Size of the total moment**: 0.0000 μB per atom

a b c (Å): 8.863 8.863 8.863
angles (deg): 25.11 25.11 25.11
Atoms (fractional coordinates):
Tm 0.000 0.000 0.000
Bi 0.500 0.500 0.500
S 0.391 0.391 0.391
S 0.609 0.609 0.609

***

No. 2
# Tm2BiS

A relaxed structure of Tm2BiS (PBE, Alexandria).

Output
**Electronic total energy**: -5.52 eV per atom
**ΔE_f (raw)**: -1277 meV/atom
**Volume**: 25.0 Å³ per atom
**Size of the total moment**: 0.0000 μB per atom

a b c (Å): 7.257 7.257 7.257
angles (deg): 32.85 32.85 32.85
Atoms (fractional coordinates):
Tm 0.238 0.238 0.238
Tm 0.762 0.762 0.762
Bi 0.000 0.000 0.000
S 0.500 0.500 0.500

***

No. 3
# Tm5Bi4S

A relaxed structure of Tm5Bi4S (PBE, Alexandria).

Output
**Electronic total energy**: -5.16 eV per atom
**ΔE_f (raw)**: -958 meV/atom
**Volume**: 28.7 Å³ per atom
**Size of the total moment**: 0.0000 μB per atom

a b c (Å): 7.484 7.484 7.484
angles (deg): 99.79 99.79 131.29
Atoms (fractional coordinates):
Tm 0.000 0.000 0.000
Tm 0.244 0.621 0.821
Tm 0.423 0.244 0.622
Tm 0.621 0.801 0.378
Tm 0.801 0.423 0.179
Bi 0.114 0.326 0.395
Bi 0.326 0.931 0.213
Bi 0.718 0.114 0.787
Bi 0.931 0.718 0.605
S 0.532 0.532 0.000

***

No. 4
# Tm2BiS

A relaxed structure of Tm2BiS (PBE, Alexandria).

Output
**Electronic total energy**: -5.48 eV per atom
**ΔE_f (raw)**: -1246 meV/atom
**Volume**: 24.9 Å³ per atom
**Size of the total moment**: 0.0000 μB per atom

a b c (Å): 7.623 7.623 7.623
angles (deg): 30.23 30.23 30.23
Atoms (fractional coordinates):
Tm 0.000 0.000 0.000
Tm 0.196 0.196 0.196
Bi 0.765 0.765 0.765
S 0.596 0.596 0.596

***

No. 5
# Tm2BiS

A relaxed structure of Tm2BiS (PBE, Alexandria).

Output
**Electronic total energy**: -5.46 eV per atom
**ΔE_f (raw)**: -1225 meV/atom
**Volume**: 25.7 Å³ per atom
**Size of the total moment**: 0.0000 μB per atom

a b c (Å): 5.934 5.959 11.634
angles (deg): 90.00 90.00 90.00
Atoms (fractional coordinates):
Tm 0.000 0.234 0.140
Tm 0.000 0.238 0.609
Tm 0.000 0.762 0.391
Tm 0.000 0.766 0.860
Tm 0.500 0.234 0.360
Tm 0.500 0.238 0.891
Tm 0.500 0.762 0.109
Tm 0.500 0.766 0.640
Bi 0.000 0.266 0.875
Bi 0.000 0.734 0.125
Bi 0.500 0.266 0.625
Bi 0.500 0.734 0.375
S 0.000 0.242 0.375
S 0.000 0.758 0.625
S 0.500 0.242 0.125
S 0.500 0.758 0.875

***

No. 6
# Tm6Bi3S

A relaxed structure of Tm6Bi3S (PBE, Alexandria).

Output
**Electronic total energy**: -4.94 eV per atom
**ΔE_f (raw)**: -679 meV/atom
**Volume**: 30.1 Å³ per atom
**Size of the total moment**: 0.0006 μB per atom

a b c (Å): 9.370 9.370 6.956
angles (deg): 90.00 90.00 100.16
Atoms (fractional coordinates):
Tm 0.011 0.989 0.500
Tm 0.082 0.590 0.390
Tm 0.238 0.762 0.901
Tm 0.295 0.404 0.928
Tm 0.404 0.295 0.428
Tm 0.410 0.918 0.390
Tm 0.590 0.082 0.890
Tm 0.596 0.705 0.928
Tm 0.705 0.596 0.428
Tm 0.762 0.238 0.401
Tm 0.918 0.410 0.890
Tm 0.989 0.011 0.000
Bi 0.088 0.280 0.249
Bi 0.280 0.088 0.749
Bi 0.391 0.609 0.574
Bi 0.609 0.391 0.074
Bi 0.720 0.912 0.249
Bi 0.912 0.720 0.749
S 0.145 0.855 0.230
S 0.855 0.145 0.730

***

No. 7
# Tm6BiS4

A relaxed structure of Tm6BiS4 (PBE, Alexandria).

Output
**Electronic total energy**: -5.84 eV per atom
**ΔE_f (raw)**: -1543 meV/atom
**Volume**: 22.6 Å³ per atom
**Size of the total moment**: 0.0000 μB per atom

a b c (Å): 6.634 6.634 19.858
angles (deg): 90.00 90.00 145.41
Atoms (fractional coordinates):
Tm 0.000 0.000 0.000
Tm 0.000 0.000 0.500
Tm 0.146 0.854 0.750
Tm 0.271 0.729 0.086
Tm 0.271 0.729 0.414
Tm 0.459 0.541 0.658
Tm 0.459 0.541 0.842
Tm 0.541 0.459 0.158
Tm 0.541 0.459 0.342
Tm 0.729 0.271 0.586
Tm 0.729 0.271 0.914
Tm 0.854 0.146 0.250
Bi 0.167 0.833 0.250
Bi 0.833 0.167 0.750
S 0.093 0.907 0.621
S 0.093 0.907 0.879
S 0.361 0.639 0.538
S 0.361 0.639 0.962
S 0.639 0.361 0.038
S 0.639 0.361 0.462
S 0.907 0.093 0.121
S 0.907 0.093 0.379

***

No. 8
# TmBiS

A relaxed structure of TmBiS (PBE, Alexandria).

Output
**Electronic total energy**: -5.26 eV per atom
**ΔE_f (raw)**: -1101 meV/atom
**Volume**: 28.8 Å³ per atom
**Size of the total moment**: 0.0000 μB per atom

a b c (Å): 7.639 7.639 7.639
angles (deg): 153.86 153.86 37.30
Atoms (fractional coordinates):
Tm 0.000 0.000 0.000
Bi 0.322 0.322 0.000
S 0.575 0.575 0.000

***

No. 9
# TmBiS3

A relaxed structure of TmBiS3 (PBE, Alexandria).

Output
**Electronic total energy**: -5.33 eV per atom
**ΔE_f (raw)**: -1187 meV/atom
**Volume**: 28.1 Å³ per atom
**Size of the total moment**: 0.0000 μB per atom

a b c (Å): 7.050 3.977 10.022
angles (deg): 90.00 90.08 90.00
Atoms (fractional coordinates):
Tm 0.074 0.250 0.174
Tm 0.926 0.750 0.826
Bi 0.418 0.250 0.814
Bi 0.582 0.750 0.186
S 0.087 0.250 0.690
S 0.221 0.750 0.008
S 0.405 0.250 0.315
S 0.595 0.750 0.685
S 0.779 0.250 0.992
S 0.913 0.750 0.310

***

No. 10
# TmBiS

A relaxed structure of TmBiS (PBE, Alexandria).

Output
**Electronic total energy**: -5.01 eV per atom
**ΔE_f (raw)**: -846 meV/atom
**Volume**: 28.6 Å³ per atom
**Size of the total moment**: 0.0000 μB per atom

a b c (Å): 6.337 6.337 8.576
angles (deg): 90.00 90.00 95.34
Atoms (fractional coordinates):
Tm 0.134 0.866 0.819
Tm 0.366 0.634 0.319
Tm 0.634 0.366 0.681
Tm 0.866 0.134 0.181
Bi 0.175 0.175 0.500
Bi 0.325 0.325 0.000
Bi 0.675 0.675 0.000
Bi 0.825 0.825 0.500
S 0.145 0.855 0.127
S 0.355 0.645 0.627
S 0.645 0.355 0.373
S 0.855 0.145 0.873

***

No. 11
# Tm4BiS2

A relaxed structure of Tm4BiS2 (PBE, Alexandria).

Output
**Electronic total energy**: -5.62 eV per atom
**ΔE_f (raw)**: -1330 meV/atom
**Volume**: 24.1 Å³ per atom
**Size of the total moment**: 0.0000 μB per atom

a b c (Å): 6.721 6.721 13.079
angles (deg): 90.00 90.00 145.17
Atoms (fractional coordinates):
Tm 0.000 0.000 0.000
Tm 0.000 0.000 0.500
Tm 0.260 0.740 0.615
Tm 0.260 0.740 0.885
Tm 0.427 0.573 0.250
Tm 0.573 0.427 0.750
Tm 0.740 0.260 0.115
Tm 0.740 0.260 0.385
Bi 0.109 0.891 0.250
Bi 0.891 0.109 0.750
S 0.369 0.631 0.057
S 0.369 0.631 0.443
S 0.631 0.369 0.557
S 0.631 0.369 0.943

***

No. 12
# TmBiS3

A relaxed structure of TmBiS3 (PBE, Alexandria).

Output
**Electronic total energy**: -5.22 eV per atom
**ΔE_f (raw)**: -1077 meV/atom
**Volume**: 28.2 Å³ per atom
**Size of the total moment**: 0.0000 μB per atom

a b c (Å): 6.842 6.842 6.961
angles (deg): 90.00 90.00 120.00
Atoms (fractional coordinates):
Tm 0.000 0.000 0.000
Tm 0.000 0.000 0.500
Bi 0.667 0.333 0.000
Bi 0.667 0.333 0.500
S 0.319 0.026 0.250
S 0.319 0.293 0.750
S 0.707 0.026 0.750
S 0.707 0.681 0.250
S 0.974 0.293 0.250
S 0.974 0.681 0.750

***

No. 13
# U2BiS6

A relaxed structure of U2BiS6 (PBE, Alexandria).

Output
**Electronic total energy**: -6.66 eV per atom
**ΔE_f (raw)**: -972 meV/atom
**Volume**: 27.4 Å³ per atom
**Size of the total moment**: 0.3333 μB per atom

a b c (Å): 6.344 6.344 12.270
angles (deg): 90.00 90.00 90.00
Atoms (fractional coordinates):
U 0.000 0.000 0.168
U 0.000 0.000 0.832
U 0.500 0.500 0.332
U 0.500 0.500 0.668
Bi 0.000 0.000 0.500
Bi 0.500 0.500 0.000
S 0.185 0.185 0.000
S 0.200 0.200 0.324
S 0.200 0.200 0.676
S 0.300 0.700 0.176
S 0.300 0.700 0.824
S 0.315 0.685 0.500
S 0.685 0.315 0.500
S 0.700 0.300 0.176
S 0.700 0.300 0.824
S 0.800 0.800 0.324
S 0.800 0.800 0.676
S 0.815 0.815 0.000

***

No. 14
# UBi2S6

A relaxed structure of UBi2S6 (PBE, Alexandria).

Output
**Electronic total energy**: -5.45 eV per atom
**ΔE_f (raw)**: -577 meV/atom
**Volume**: 22.2 Å³ per atom
**Size of the total moment**: 0.0091 μB per atom

a b c (Å): 3.938 7.773 7.773
angles (deg): 122.70 90.00 90.00
Atoms (fractional coordinates):
U 0.000 0.000 0.000
Bi 0.500 0.330 0.640
Bi 0.500 0.640 0.330
S 0.000 0.050 0.424
S 0.000 0.424 0.050
S 0.000 0.634 0.634
S 0.500 0.037 0.796
S 0.500 0.269 0.269
S 0.500 0.796 0.037

***

No. 15
# U2BiS6

A relaxed structure of U2BiS6 (PBE, Alexandria).

Output
**Electronic total energy**: -6.72 eV per atom
**ΔE_f (raw)**: -1030 meV/atom
**Volume**: 31.1 Å³ per atom
**Size of the total moment**: 0.3333 μB per atom

a b c (Å): 8.964 8.964 8.168
angles (deg): 102.95 102.95 26.01
Atoms (fractional coordinates):
U 0.167 0.167 0.326
U 0.833 0.833 0.674
Bi 0.500 0.500 0.000
S 0.015 0.015 0.247
S 0.324 0.324 0.451
S 0.334 0.334 0.888
S 0.666 0.666 0.112
S 0.676 0.676 0.549
S 0.985 0.985 0.753

***

No. 16
# U2Bi5S12

A relaxed structure of U2Bi5S12 (PBE, Alexandria).

Output
**Electronic total energy**: -5.43 eV per atom
**ΔE_f (raw)**: -611 meV/atom
**Volume**: 27.0 Å³ per atom
**Size of the total moment**: 0.1583 μB per atom

a b c (Å): 8.759 8.759 8.988
angles (deg): 105.22 105.22 51.07
Atoms (fractional coordinates):
U 0.247 0.753 0.000
U 0.753 0.247 0.000
Bi 0.179 0.179 0.821
Bi 0.217 0.217 0.353
Bi 0.500 0.500 0.500
Bi 0.783 0.783 0.647
Bi 0.821 0.821 0.179
S 0.000 0.000 0.214
S 0.000 0.000 0.786
S 0.060 0.596 0.907
S 0.105 0.600 0.429
S 0.400 0.895 0.571
S 0.404 0.940 0.093
S 0.493 0.493 0.193
S 0.507 0.507 0.807
S 0.596 0.060 0.907
S 0.600 0.105 0.429
S 0.895 0.400 0.571
S 0.940 0.404 0.093

***

No. 17
# UBi3S6

A relaxed structure of UBi3S6 (PBE, Alexandria).

Output
**Electronic total energy**: -5.36 eV per atom
**ΔE_f (raw)**: -593 meV/atom
**Volume**: 25.8 Å³ per atom
**Size of the total moment**: 0.2657 μB per atom

a b c (Å): 11.446 3.986 11.606
angles (deg): 90.00 102.52 90.00
Atoms (fractional coordinates):
U 0.181 0.250 0.034
U 0.819 0.750 0.966
Bi 0.009 0.750 0.315
Bi 0.344 0.250 0.410
Bi 0.420 0.750 0.838
Bi 0.580 0.250 0.162
Bi 0.656 0.750 0.590
Bi 0.991 0.250 0.685
S 0.047 0.750 0.897
S 0.115 0.250 0.458
S 0.205 0.750 0.222
S 0.260 0.250 0.808
S 0.377 0.750 0.055
S 0.396 0.750 0.569
S 0.604 0.250 0.431
S 0.623 0.250 0.945
S 0.740 0.750 0.192
S 0.795 0.250 0.778
S 0.885 0.750 0.542
S 0.953 0.250 0.103

***

No. 18
# UBi2S6

A relaxed structure of UBi2S6 (PBE, Alexandria).

Output
**Electronic total energy**: -5.53 eV per atom
**ΔE_f (raw)**: -657 meV/atom
**Volume**: 28.2 Å³ per atom
**Size of the total moment**: 0.0000 μB per atom

a b c (Å): 6.282 6.919 11.699
angles (deg): 90.00 90.00 90.00
Atoms (fractional coordinates):
U 0.000 0.000 0.000
U 0.500 0.500 0.500
Bi 0.000 0.500 0.172
Bi 0.000 0.500 0.828
Bi 0.500 0.000 0.328
Bi 0.500 0.000 0.672
S 0.229 0.311 0.000
S 0.233 0.842 0.153
S 0.233 0.842 0.847
S 0.267 0.342 0.347
S 0.267 0.342 0.653
S 0.271 0.811 0.500
S 0.729 0.189 0.500
S 0.733 0.658 0.347
S 0.733 0.658 0.653
S 0.767 0.158 0.153
S 0.767 0.158 0.847
S 0.771 0.689 0.000

***

No. 19
# UBi6S12

A relaxed structure of UBi6S12 (PBE, Alexandria).

Output
**Electronic total energy**: -4.88 eV per atom
**ΔE_f (raw)**: -451 meV/atom
**Volume**: 26.7 Å³ per atom
**Size of the total moment**: 0.0000 μB per atom

a b c (Å): 8.101 8.101 8.101
angles (deg): 99.57 99.57 99.57
Atoms (fractional coordinates):
U 0.000 0.000 0.000
Bi 0.148 0.623 0.324
Bi 0.324 0.148 0.623
Bi 0.377 0.676 0.852
Bi 0.623 0.324 0.148
Bi 0.676 0.852 0.377
Bi 0.852 0.377 0.676
S 0.034 0.689 0.914
S 0.086 0.966 0.311
S 0.177 0.425 0.573
S 0.311 0.086 0.966
S 0.425 0.573 0.177
S 0.427 0.823 0.575
S 0.573 0.177 0.425
S 0.575 0.427 0.823
S 0.689 0.914 0.034
S 0.823 0.575 0.427
S 0.914 0.034 0.689
S 0.966 0.311 0.086

***

No. 20
# V6BiS12

A relaxed structure of V6BiS12 (PBE, Alexandria).

Output
**Electronic total energy**: -6.06 eV per atom
**ΔE_f (raw)**: -373 meV/atom
**Volume**: 17.5 Å³ per atom
**Size of the total moment**: 0.2261 μB per atom

a b c (Å): 7.161 7.161 7.161
angles (deg): 103.15 103.15 103.15
Atoms (fractional coordinates):
V 0.244 0.244 0.641
V 0.244 0.641 0.244
V 0.359 0.756 0.756
V 0.641 0.244 0.244
V 0.756 0.359 0.756
V 0.756 0.756 0.359
Bi 0.000 0.000 0.000
S 0.124 0.500 0.876
S 0.124 0.876 0.500
S 0.175 0.465 0.465
S 0.465 0.175 0.465
S 0.465 0.465 0.175
S 0.500 0.124 0.876
S 0.500 0.876 0.124
S 0.535 0.535 0.825
S 0.535 0.825 0.535
S 0.825 0.535 0.535
S 0.876 0.124 0.500
S 0.876 0.500 0.124